1.
First-principles (PBE) data for a geometry-optimized ZrZn2BiN structure, as listed in Alexandria via LeMat-Bulk.

Output
Its symmetry is P4/mmm. The formation energy from raw total energies comes out at 2.16 eV/f.u. The total DFT energy (no corrections) is -4.228 eV/atom.

Cell: 4.1909 4.1909 5.2739 Å, 90.00 90.00 90.00°
Element x y z (fractional)
Zr (0.0000, 0.0000, 0.0000)
Zn (0.0000, 0.5000, 0.5000)
Zn (0.5000, 0.0000, 0.5000)
Bi (0.5000, 0.5000, 0.0000)
N (0.5000, 0.5000, 0.5000)

2.
First-principles (PBE) data for a geometry-optimized BaPm2Gd structure, as listed in Alexandria via LeMat-Bulk.

Output
The value obtained for the formation energy is 0.49 eV/f.u. Its symmetry is P4/mmm. Its energy relative to the lowest polymorph listed for this composition is 0 meV per atom. The total DFT energy (no corrections) is -6.253 eV/atom.

Cell: 3.7723 3.7723 10.8502 Å, 90.00 90.00 90.00°
Element x y z (fractional)
Ba (0.0000, 0.0000, 0.0000)
Pm (0.5000, 0.5000, 0.2821)
Pm (0.5000, 0.5000, 0.7179)
Gd (0.0000, 0.0000, 0.5000)